Density functional theory data (PBE-GGA) for a relaxed In2Si crystal.

Structure (POSCAR):
```
In2Si
1.0
-2.096 -5.384 -1.630
-5.920 -0.956 -0.285
-2.675 -0.692 -5.330
In Si
4 2
Cartesian
-2.384 -3.571 -1.721
-4.296 -1.357 -1.048
-2.674 -1.225 -3.570
-1.336 -0.879 -0.906
-5.346 -3.516 -3.622
-8.018 -5.274 -5.433
```

Space-group type: Fd-3m (227)
Raw formation energy, meV/atom: 668
E above lowest polymorph, eV/atom: 0.494
Uncorrected energy, eV/atom: -2.97



Density functional theory data (PBE-GGA) for a relaxed InSi crystal.

Structure (POSCAR):
```
InSi
1.0
-4.547 -4.245 -4.207
4.613 -5.853 0.920
-3.799 -2.027 6.152
In Si
6 6
Cartesian
-3.036 -2.074 2.024
-5.310 -4.197 -0.079
1.356 -3.433 1.998
-0.543 -4.447 5.074
-1.120 -3.586 -1.873
1.186 -6.512 -1.413
1.170 -3.988 -0.591
-1.104 -6.110 -2.695
-3.223 -2.629 -0.565
-5.123 -3.642 2.511
-0.747 -2.477 3.306
1.560 -5.403 3.766
```

Space-group type: Pm-3n (223)
Raw formation energy, meV/atom: 615
Uncorrected energy, eV/atom: -3.47



Density functional theory data (PBE-GGA) for a relaxed In2Si crystal.

Structure (POSCAR):
```
In2Si
1.0
3.738 0.176 -4.704
5.482 1.350 -2.062
5.065 -6.214 -0.582
In Si
4 2
Cartesian
8.789 -4.096 -3.983
3.496 -2.210 -1.326
10.788 -2.477 -6.022
5.495 -0.592 -3.366
7.694 0.871 -5.468
6.591 -5.559 -1.881
```

Space-group type: C2/m (12)
Raw formation energy, meV/atom: 228
E above lowest polymorph, eV/atom: 0.053
Uncorrected energy, eV/atom: -3.41



Density functional theory data (PBE-GGA) for a relaxed InSi5 crystal.

Structure (POSCAR):
```
InSi5
1.0
-0.319 3.243 0.267
0.199 -0.249 3.254
9.523 0.977 -0.508
In Si
1 5
Cartesian
-0.060 1.497 1.761
7.291 0.748 -0.389
2.232 0.229 -0.119
6.054 2.125 1.434
3.349 1.847 1.579
4.761 0.489 -0.254
```

Space-group type: P4/mmm (123)
Raw formation energy, meV/atom: 447
E above lowest polymorph, eV/atom: 0.036
Uncorrected energy, eV/atom: -4.53



Density functional theory data (PBE-GGA) for a relaxed In2Si crystal.

Structure (POSCAR):
```
In2Si
1.0
6.252 -5.095 -1.507
7.777 -2.579 -0.435
1.635 -3.109 4.968
In Si
4 2
Cartesian
11.525 -6.640 -0.810
2.282 -2.297 2.145
4.139 -4.143 3.836
13.382 -8.486 0.881
7.903 -6.219 3.353
7.761 -4.564 -0.327
```

Space-group type: C2/m (12)
Raw formation energy, meV/atom: 272
E above lowest polymorph, eV/atom: 0.098
Uncorrected energy, eV/atom: -3.36



Density functional theory data (PBE-GGA) for a relaxed In2Si crystal.

Structure (POSCAR):
```
In2Si
1.0
-3.325 -0.921 -1.425
1.241 -5.627 0.753
-2.263 -2.216 6.695
Si In
2 4
Cartesian
-2.700 -6.961 3.468
-1.647 -1.803 2.555
-0.588 -1.732 0.059
-3.760 -7.032 5.964
-3.598 -4.136 3.734
-0.749 -4.628 2.289
```

Space-group type: P-1 (2)
Raw formation energy, meV/atom: 192
E above lowest polymorph, eV/atom: 0.018
Uncorrected energy, eV/atom: -3.44



Density functional theory data (PBE-GGA) for a relaxed InSi crystal.

Structure (POSCAR):
```
InSi
1.0
-1.237 -6.471 -1.587
0.195 -1.649 6.570
-4.643 0.804 0.340
In Si
4 4
Cartesian
-0.777 -6.057 3.717
-2.478 -2.433 4.734
-3.206 -4.883 0.589
-0.265 -2.063 1.266
-1.050 -5.839 -0.518
-2.706 -2.594 2.009
-2.979 -4.722 3.314
0.008 -2.281 5.502
```

Space-group type: P4_2/mnm (136)
Raw formation energy, meV/atom: 377
Uncorrected energy, eV/atom: -3.70



Density functional theory data (PBE-GGA) for a relaxed InSi crystal.

Structure (POSCAR):
```
InSi
1.0
-3.676 -2.064 -0.896
-0.441 -4.162 1.030
-2.653 -1.161 3.192
In Si
1 1
Cartesian
0.000 0.000 0.000
-5.078 -5.540 2.494
```

Space-group type: F-43m (216)
Raw formation energy, meV/atom: 487
Uncorrected energy, eV/atom: -3.59



Density functional theory data (PBE-GGA) for a relaxed InSi crystal.

Structure (POSCAR):
```
InSi
1.0
5.633 0.000 0.000
0.000 2.978 0.001
0.000 1.490 2.579
Si In
1 1
Cartesian
3.217 3.006 1.969
0.401 3.003 1.977
```

Space-group type: Amm2 (38)
Raw formation energy, meV/atom: 502
Uncorrected energy, eV/atom: -3.58



Density functional theory data (PBE-GGA) for a relaxed In3Si crystal.

Structure (POSCAR):
```
In3Si
1.0
3.314 0.000 0.000
-1.657 2.870 0.000
0.000 0.000 10.327
In Si
3 1
Cartesian
0.000 0.000 10.009
0.000 0.000 5.481
1.657 0.957 2.582
1.657 0.957 7.745
```

Space-group type: P-6m2 (187)
Raw formation energy, meV/atom: 272
Uncorrected energy, eV/atom: -3.14



Density functional theory data (PBE-GGA) for a relaxed InSi crystal.

Structure (POSCAR):
```
InSi
1.0
4.508 0.007 0.018
-1.081 4.377 0.018
-1.123 -1.438 2.581
Si In
1 1
Cartesian
2.186 3.169 0.064
3.389 1.071 1.354
```

Space-group type: C2 (5)
Raw formation energy, meV/atom: 368
Uncorrected energy, eV/atom: -3.71



Density functional theory data (PBE-GGA) for a relaxed In2Si crystal.

Structure (POSCAR):
```
In2Si
1.0
3.692 -0.016 -0.060
1.767 5.693 -0.204
-0.115 1.815 7.170
Si In
2 4
Cartesian
1.754 4.452 3.544
3.590 3.039 3.362
1.619 6.688 5.171
3.725 0.803 1.735
1.703 3.456 6.327
3.641 4.035 0.578
```

Space-group type: P-1 (2)
Raw formation energy, meV/atom: 178
E above lowest polymorph, eV/atom: 0.004
Uncorrected energy, eV/atom: -3.45



Density functional theory data (PBE-GGA) for a relaxed In5Si3 crystal.

Structure (POSCAR):
```
In5Si3
1.0
8.300 0.000 0.000
-4.150 7.188 0.000
0.000 0.000 6.341
Si In
6 10
Cartesian
5.164 0.000 1.585
3.136 0.000 4.756
-2.582 4.472 1.585
1.568 2.716 1.585
2.582 4.472 4.756
-1.568 2.716 4.756
0.000 4.792 0.000
4.150 2.396 3.171
4.150 2.396 0.000
0.000 4.792 3.171
2.200 0.000 1.585
6.100 0.000 4.756
-1.100 1.905 1.585
3.050 5.283 1.585
1.100 1.905 4.756
-3.050 5.283 4.756
```

Space-group type: P6_3/mcm (193)
Raw formation energy, meV/atom: 360
E above lowest polymorph, eV/atom: 0.054
Uncorrected energy, eV/atom: -3.39



Density functional theory data (PBE-GGA) for a relaxed In5Si3 crystal.

Structure (POSCAR):
```
In5Si3
1.0
5.354 -4.841 0.000
5.354 4.841 0.000
0.000 0.000 3.661
In Si
5 3
Cartesian
0.000 0.000 0.000
2.677 -2.420 0.000
2.677 2.420 0.000
5.354 -2.360 1.830
5.354 2.360 1.830
5.354 0.000 0.000
7.167 0.000 1.830
3.541 0.000 1.830
```

Space-group type: Cmmm (65)
Raw formation energy, meV/atom: 306
E above lowest polymorph, eV/atom: 0.000
Uncorrected energy, eV/atom: -3.44



Density functional theory data (PBE-GGA) for a relaxed InSi crystal.

Structure (POSCAR):
```
InSi
1.0
4.062 -0.007 0.052
-0.248 4.055 -0.055
-1.119 1.057 2.554
Si In
1 1
Cartesian
1.977 3.453 0.303
0.070 1.429 0.304
```

Space-group type: C2/m (12)
Raw formation energy, meV/atom: 413
Uncorrected energy, eV/atom: -3.67



Density functional theory data (PBE-GGA) for a relaxed In3Si crystal.

Structure (POSCAR):
```
In3Si
1.0
-0.495 1.780 -2.868
-1.040 -2.931 -1.404
-7.876 1.652 2.384
In Si
3 1
Cartesian
-0.259 0.054 0.078
-6.674 0.664 -0.348
-3.679 0.772 1.113
-2.736 -0.162 -1.540
```

Space-group type: Cmmm (65)
Raw formation energy, meV/atom: 237
Uncorrected energy, eV/atom: -3.17



Density functional theory data (PBE-GGA) for a relaxed InSi crystal.

Structure (POSCAR):
```
InSi
1.0
2.843 0.010 -0.132
-0.008 3.189 0.127
-0.218 -0.192 4.801
Si In
1 1
Cartesian
2.106 3.051 0.348
1.995 1.362 2.684
```

Space-group type: Pm (6)
Raw formation energy, meV/atom: 475
Uncorrected energy, eV/atom: -3.61



Density functional theory data (PBE-GGA) for a relaxed In3Si5 crystal.

Structure (POSCAR):
```
In3Si5
1.0
-5.869 -5.684 -1.861
5.150 1.260 6.493
-4.776 6.450 0.935
Si In
10 6
Cartesian
-0.238 2.593 4.689
-5.258 -0.570 0.882
-7.237 0.304 -0.415
1.743 1.721 5.989
-3.835 -2.164 2.240
-1.662 4.184 3.331
-5.211 1.950 0.638
-0.282 0.074 4.935
-5.727 -2.988 0.328
0.229 5.009 5.244
-1.041 -2.884 3.809
-4.427 4.928 1.776
-2.583 2.024 1.725
-2.913 -0.006 3.851
-2.376 5.997 5.318
-3.109 -3.925 0.206
```

Space-group type: Cm (8)
Raw formation energy, meV/atom: 394
E above lowest polymorph, eV/atom: 0.000
Uncorrected energy, eV/atom: -4.02



Density functional theory data (PBE-GGA) for a relaxed In3Si5 crystal.

Structure (POSCAR):
```
In3Si5
1.0
4.011 -5.271 0.000
4.011 5.271 0.000
0.000 0.000 3.838
In Si
3 5
Cartesian
4.011 0.000 0.000
4.011 -2.717 1.919
4.011 2.717 1.919
0.000 0.000 0.000
2.005 2.635 0.000
2.005 -2.635 0.000
1.641 0.000 1.919
6.381 0.000 1.919
```

Space-group type: Cmmm (65)
Raw formation energy, meV/atom: 535
E above lowest polymorph, eV/atom: 0.142
Uncorrected energy, eV/atom: -3.88



Density functional theory data (PBE-GGA) for a relaxed In5Si crystal.

Structure (POSCAR):
```
In5Si
1.0
-2.383 5.113 1.250
1.898 -3.419 4.253
4.743 2.280 -0.284
In Si
5 1
Cartesian
-1.632 3.502 0.856
-0.153 0.534 1.734
1.300 -2.342 2.913
1.416 3.409 2.109
2.843 0.565 3.110
2.371 1.140 -0.142
```

Space-group type: P-62m (189)
Raw formation energy, meV/atom: 202
E above lowest polymorph, eV/atom: 0.044
Uncorrected energy, eV/atom: -2.98